(1)
# Sr2AsRu

A relaxed Sr2AsRu crystal (GGA-PBEsol, the Alexandria database).

Lattice parameters (Å, degrees): 3.5934 3.5934 27.0385 90.00 90.00 120.00
Space group R-3m (No. 166, hexagonal axes)
One atom of each set of equivalent atoms:
Sr1 0.0000 0.0000 0.2460 (multiplicity 6)
As1 0.0000 0.0000 0.0000 (multiplicity 3)
Ru1 0.0000 0.0000 0.5000 (multiplicity 3)

=====

(2)
# SrAsRu

A relaxed SrAsRu crystal (GGA-PBEsol, the Alexandria database).

Lattice parameters (Å, degrees): 4.1232 4.1232 4.6442 90.00 90.00 120.00
Space group P-6m2 (No. 187)
One atom of each set of equivalent atoms:
Sr1 0.0000 0.0000 0.0000 (multiplicity 1)
As1 0.3333 0.6667 0.5000 (multiplicity 1)
Ru1 0.6667 0.3333 0.5000 (multiplicity 1)

=====

(3)
# SrAsRu

A relaxed SrAsRu crystal (GGA-PBEsol, the Alexandria database).

Lattice parameters (Å, degrees): 3.2593 3.2593 11.2386 90.00 90.00 90.00
Space group I4mm (No. 107)
One atom of each set of equivalent atoms:
Sr1 0.0000 0.0000 0.0000 (multiplicity 2)
As1 0.0000 0.0000 0.7063 (multiplicity 2)
Ru1 0.0000 0.0000 0.2965 (multiplicity 2)

=====

(4)
# Sr2AsRu

A relaxed Sr2AsRu crystal (GGA-PBEsol, the Alexandria database).

Lattice parameters (Å, degrees): 6.9972 6.9972 6.9972 90.00 90.00 90.00
Space group F-43m (No. 216)
One atom of each set of equivalent atoms:
Sr1 0.0000 0.0000 0.0000 (multiplicity 4)
Sr2 0.2500 0.2500 0.2500 (multiplicity 4)
As1 0.2500 0.2500 0.7500 (multiplicity 4)
Ru1 0.0000 0.0000 0.5000 (multiplicity 4)

=====

Number 1: E_form 293 meV/atom, N(E_F) 0.75 states/eV/atom, magnetic moment 0.0 μB/f.u.. Number 2: E_form -418 meV/atom, N(E_F) 0.83 states/eV/atom, magnetic moment 0.0 μB/f.u.. Number 3: E_form -301 meV/atom, N(E_F) 0.61 states/eV/atom, magnetic moment 0.0 μB/f.u.. Number 4: E_form 111 meV/atom, N(E_F) 1.51 states/eV/atom, magnetic moment 0.1 μB/f.u..